Density functional theory data (PBE) for crystalline Al2GaAu6 at its relaxed geometry. Values from VASP.

Geometry as Quantum ESPRESSO input:
```
&SYSTEM
  ibrav = 0, nat = 18, ntyp = 3
/
ATOMIC_SPECIES
Al 26.98 Al.upf
Ga 69.72 Ga.upf
Au 196.97 Au.upf
CELL_PARAMETERS angstrom
-0.7258 -2.0055 -3.9252
-4.2056 -8.0333 2.6127
-9.3774 -1.0541 0.0030
ATOMIC_POSITIONS angstrom
Al -10.1425 -5.8470 -0.2761
Al -5.3585 -2.1446 0.1444
Al -4.1663 -5.2460 -1.0335
Al -8.9503 -8.9483 -1.4540
Ga -8.7609 -2.6323 -0.5757
Ga -5.5479 -8.4606 -0.7339
Au -7.6145 -6.8895 -0.1243
Au -5.2781 -4.6222 1.3089
Au -6.6943 -4.2035 -1.1852
Au -9.0307 -6.4707 -2.6185
Au -4.2800 -2.7449 -2.2250
Au -11.4962 -7.8603 -1.6045
Au -10.0288 -8.3480 0.9155
Au -2.8126 -3.2327 0.2949
Au -3.6806 -7.0350 0.8404
Au -6.2096 -8.5282 1.8591
Au -10.6282 -4.0580 -2.1500
Au -8.0991 -2.5647 -3.1687
```

Properties
**Crystal system**: monoclinic
**Total magnetic moment**: 0.00 μB/cell
**Energy of formation from the pure elements**: -0.238 eV per atom
**Final energy**: -32.32 eV/f.u.